{
  "formula": "BaYOsW2",
  "functional": "PBE-GGA",
  "state": "optimized geometry",
  "cell": [[4.947, 0.000, 0.000], [0.000, 4.947, 0.000], [0.000, 0.000, 5.384]],
  "species": ["Ba", "Y", "Os", "W", "W"],
  "frac_coords": [[0.000, 0.000, 0.000], [0.500, 0.500, 0.000], [0.500, 0.500, 0.500], [0.000, 0.500, 0.500], [0.500, 0.000, 0.500]],
  "dft_energy_ev_per_atom": -8.048,
  "formation_energy_ev_per_atom": 1.056
}